(one)
# ScAg2Pd

An optimized crystal structure of ScAg2Pd (PBE-GGA, the Alexandria database).

Lattice parameters (Å, degrees): 3.9715 3.9715 4.5495 90.00 90.00 90.00
Last column: nearest neighbours and their distance in Å.
Fractional coordinates of all 4 atoms:
Sc 0.0000 0.0000 0.0000  4 Pd 2.81, 8 Ag 3.02
Ag 0.0000 0.5000 0.5000  4 Ag 2.81, 4 Sc 3.02, 4 Pd 3.02
Ag 0.5000 0.0000 0.5000  4 Ag 2.81, 4 Sc 3.02, 4 Pd 3.02
Pd 0.5000 0.5000 0.0000  4 Sc 2.81, 8 Ag 3.02

Calculated values
space-group type: P4/mmm, No. 123
total moment: 0.00 μB/cell

***

(two)
# ScAg2Pd

An optimized crystal structure of ScAg2Pd (PBE-GGA, the Alexandria database).

Lattice parameters (Å, degrees): 4.6678 4.6678 4.6678 60.00 60.00 60.00
Last column: nearest neighbours and their distance in Å.
Fractional coordinates of all 4 atoms:
Sc 0.0000 0.0000 0.0000  8 Ag 2.86
Ag 0.2500 0.2500 0.2500  4 Sc 2.86, 4 Pd 2.86
Ag 0.7500 0.7500 0.7500  4 Pd 2.86, 4 Sc 2.86
Pd 0.5000 0.5000 0.5000  8 Ag 2.86

Calculated values
space-group type: Fm-3m, No. 225
total moment: 0.00 μB/cell

***

(one) has the most favorable energy; the next structure is 33 meV/atom above.

***

(one)
# ScAgPd3

An optimized crystal structure of ScAgPd3 (PBE-GGA, the Alexandria database).

Lattice parameters (Å, degrees): 4.7461 4.7461 4.7461 90.00 90.00 90.00
Last column: nearest neighbours and their distance in Å.
Fractional coordinates of all 5 atoms:
Sc 0.0000 0.0000 0.0000  6 Pd 2.37
Ag 0.5000 0.5000 0.5000  12 Pd 3.36
Pd 0.0000 0.0000 0.5000  2 Sc 2.37
Pd 0.0000 0.5000 0.0000  2 Sc 2.37
Pd 0.5000 0.0000 0.0000  2 Sc 2.37

Calculated values
space-group type: Pm-3m, No. 221
total moment: 0.00 μB/cell

***

(two)
# ScAgPd3

An optimized crystal structure of ScAgPd3 (PBE-GGA, the Alexandria database).

Lattice parameters (Å, degrees): 4.3129 5.6221 7.4638 90.00 90.00 90.00
Last column: nearest neighbours and their distance in Å.
Fractional coordinates of all 10 atoms:
Sc 0.2500 0.2500 0.1496  8 Pd 2.70-2.86
Sc 0.7500 0.7500 0.8504  8 Pd 2.70-2.86
Ag 0.2500 0.7500 0.4446  7 Pd 2.74-2.95
Ag 0.7500 0.2500 0.5554  7 Pd 2.74-2.95
Pd 0.2500 0.0111 0.7551  5 Pd 2.69-2.94, 2 Sc 2.70, 3 Ag 2.74-2.95
Pd 0.2500 0.4889 0.7551  5 Pd 2.69-2.94, 2 Sc 2.70, 3 Ag 2.74-2.95
Pd 0.2500 0.7500 0.0775  1 Ag 2.74, 4 Sc 2.74-2.86, 6 Pd 2.82-2.83
Pd 0.7500 0.2500 0.9225  1 Ag 2.74, 4 Sc 2.74-2.86, 6 Pd 2.82-2.83
Pd 0.7500 0.5111 0.2449  5 Pd 2.69-2.94, 2 Sc 2.70, 3 Ag 2.74-2.95
Pd 0.7500 0.9889 0.2449  5 Pd 2.69-2.94, 2 Sc 2.70, 3 Ag 2.74-2.95

Calculated values
space-group type: Pmmn, No. 59
total moment: 0.00 μB/cell

***

(three)
# ScAgPd3

An optimized crystal structure of ScAgPd3 (PBE-GGA, the Alexandria database).

Lattice parameters (Å, degrees): 6.6186 6.6186 5.0589 90.00 90.00 120.00
Last column: nearest neighbours and their distance in Å.
Fractional coordinates of all 10 atoms:
Sc 0.3333 0.6667 0.2500  6 Pd 2.94
Sc 0.6667 0.3333 0.7500  6 Pd 2.94
Ag 0.0000 0.0000 0.0000  2 Ag 2.53, 6 Pd 2.64
Ag 0.0000 0.0000 0.5000  2 Ag 2.53, 6 Pd 2.64
Pd 0.2023 0.4046 0.7500  2 Pd 2.60, 2 Ag 2.64
Pd 0.2023 0.7977 0.7500  2 Pd 2.60, 2 Ag 2.64
Pd 0.4046 0.2023 0.2500  2 Pd 2.60, 2 Ag 2.64
Pd 0.5954 0.7977 0.7500  2 Pd 2.60, 2 Ag 2.64
Pd 0.7977 0.2023 0.2500  2 Pd 2.60, 2 Ag 2.64
Pd 0.7977 0.5954 0.2500  2 Pd 2.60, 2 Ag 2.64

Calculated values
space-group type: P6_3/mmc, No. 194
total moment: 0.00 μB/cell

***

(two) has the most favorable energy; the next structure is 312 meV/atom above.

***

(one)
# Sc2AgPd3

An optimized crystal structure of Sc2AgPd3 (PBE-GGA, the Alexandria database).

Lattice parameters (Å, degrees): 8.4386 8.4386 8.4386 115.66 115.66 97.69
Last column: nearest neighbours and their distance in Å.
Fractional coordinates of all 24 atoms:
Sc 0.2637 0.3287 0.5651  7 Pd 2.65-2.92, 1 Ag 2.83
Sc 0.2637 0.6986 0.9349  7 Pd 2.65-2.92, 1 Ag 2.83
Sc 0.3014 0.7363 0.5651  7 Pd 2.65-2.92, 1 Ag 2.83
Sc 0.3287 0.2637 0.0651  7 Pd 2.65-2.92, 1 Ag 2.83
Sc 0.6713 0.7363 0.9349  7 Pd 2.65-2.92, 1 Ag 2.83
Sc 0.6986 0.2637 0.4349  7 Pd 2.65-2.92, 1 Ag 2.83
Sc 0.7363 0.3014 0.0651  7 Pd 2.65-2.92, 1 Ag 2.83
Sc 0.7363 0.6713 0.4349  7 Pd 2.65-2.92, 1 Ag 2.83
Ag 0.0053 0.2553 0.7500  2 Sc 2.83, 1 Ag 2.90, 4 Pd 3.16
Ag 0.2553 0.0053 0.2500  2 Sc 2.83, 1 Ag 2.90, 4 Pd 3.16
Ag 0.7447 0.9947 0.7500  2 Sc 2.83, 1 Ag 2.90, 4 Pd 3.16
Ag 0.9947 0.7447 0.2500  2 Sc 2.83, 1 Ag 2.90, 4 Pd 3.16
Pd 0.0000 0.5000 0.5000  6 Sc 2.69-2.80, 4 Pd 2.87
Pd 0.0964 0.3464 0.1928  4 Sc 2.65-2.92, 4 Pd 2.82-2.87
Pd 0.0964 0.9036 0.7500  4 Sc 2.65-2.92, 4 Pd 2.82-2.87
Pd 0.3464 0.0964 0.6928  4 Sc 2.65-2.92, 4 Pd 2.82-2.87
Pd 0.3464 0.6536 0.2500  4 Sc 2.65-2.92, 4 Pd 2.82-2.87
Pd 0.5000 0.0000 0.0000  6 Sc 2.69-2.80, 4 Pd 2.87
Pd 0.5000 0.5000 0.0000  6 Sc 2.69-2.80, 4 Pd 2.87
Pd 0.5000 0.5000 0.5000  6 Sc 2.69-2.80, 4 Pd 2.87
Pd 0.6536 0.3464 0.7500  4 Sc 2.65-2.92, 4 Pd 2.82-2.87
Pd 0.6536 0.9036 0.3072  4 Sc 2.65-2.92, 4 Pd 2.82-2.87
Pd 0.9036 0.0964 0.2500  4 Sc 2.65-2.92, 4 Pd 2.82-2.87
Pd 0.9036 0.6536 0.8072  4 Sc 2.65-2.92, 4 Pd 2.82-2.87

Calculated values
space-group type: I4_1/amd, No. 141
total moment: 0.00 μB/cell

***

(two)
# Sc2AgPd3

An optimized crystal structure of Sc2AgPd3 (PBE-GGA, the Alexandria database).

Lattice parameters (Å, degrees): 6.8899 6.8899 7.6990 116.11 116.11 42.06
Last column: nearest neighbours and their distance in Å.
Fractional coordinates of all 12 atoms:
Sc 0.0197 0.0197 0.2121  5 Pd 2.60-2.89
Sc 0.3047 0.3047 0.4310  5 Pd 2.66-2.73
Sc 0.6953 0.6953 0.5690  5 Pd 2.66-2.73
Sc 0.9803 0.9803 0.7879  5 Pd 2.60-2.89
Ag 0.3714 0.3714 0.8730  6 Pd 2.82-2.95, 1 Ag 2.94, 3 Sc 3.06-3.09
Ag 0.6286 0.6286 0.1270  6 Pd 2.82-2.95, 1 Ag 2.94, 3 Sc 3.06-3.09
Pd 0.1293 0.1293 0.6002  4 Sc 2.63-2.89, 1 Ag 2.82, 1 Pd 2.93
Pd 0.2047 0.2047 0.0354  2 Sc 2.60-2.69, 2 Ag 2.87, 2 Pd 2.89
Pd 0.4653 0.4653 0.2940  4 Sc 2.71-2.73, 2 Pd 2.86-2.98, 2 Ag 2.88-2.93
Pd 0.5347 0.5347 0.7060  4 Sc 2.71-2.73, 2 Pd 2.86-2.98, 2 Ag 2.88-2.93
Pd 0.7953 0.7953 0.9646  2 Sc 2.60-2.69, 2 Ag 2.87, 2 Pd 2.89
Pd 0.8707 0.8707 0.3998  4 Sc 2.63-2.89, 1 Ag 2.82, 1 Pd 2.93

Calculated values
space-group type: C2/m, No. 12
total moment: 0.00 μB/cell

***

(two) has the most favorable energy; the next structure is 14 meV/atom above.

***

(one)
# Sc3AgPd

An optimized crystal structure of Sc3AgPd (PBE-GGA, the Alexandria database).

Lattice parameters (Å, degrees): 5.0497 5.0497 5.0497 90.00 90.00 90.00
Last column: nearest neighbours and their distance in Å.
Fractional coordinates of all 5 atoms:
Sc 0.0000 0.0000 0.5000  2 Pd 2.52
Sc 0.0000 0.5000 0.0000  2 Pd 2.52
Sc 0.5000 0.0000 0.0000  2 Pd 2.52
Ag 0.5000 0.5000 0.5000  12 Sc 3.57
Pd 0.0000 0.0000 0.0000  6 Sc 2.52

Calculated values
space-group type: Pm-3m, No. 221
total moment: 0.00 μB/cell

***

(two)
# Sc3AgPd

An optimized crystal structure of Sc3AgPd (PBE-GGA, the Alexandria database).

Lattice parameters (Å, degrees): 5.0846 5.0846 5.0846 90.00 90.00 90.00
Last column: nearest neighbours and their distance in Å.
Fractional coordinates of all 5 atoms:
Sc 0.0000 0.0000 0.5000  2 Ag 2.54
Sc 0.0000 0.5000 0.0000  2 Ag 2.54
Sc 0.5000 0.0000 0.0000  2 Ag 2.54
Ag 0.0000 0.0000 0.0000  6 Sc 2.54
Pd 0.5000 0.5000 0.5000  12 Sc 3.60

Calculated values
space-group type: Pm-3m, No. 221
total moment: 0.00 μB/cell

***

(one) has the most favorable energy; the next structure is 420 meV/atom above.